(1)
Entry from Alexandria via LeMat-Bulk: a relaxed KBa2ZnO crystal (GGA-PBE).

Results
- energy relative to the elements, uncorrected (eV per atom) = -0.874

```
data_KBa2ZnO
_chemical_formula_sum 'K1 Ba2 Zn1 O1'
_cell_length_a 5.432
_cell_length_b 5.432
_cell_length_c 5.621
_cell_angle_alpha 90.00
_cell_angle_beta 90.00
_cell_angle_gamma 90.00
_symmetry_space_group_name_H-M 'P 4/m m m'
_symmetry_Int_Tables_number 123
_symmetry_space_group_name_Hall '-P 4 2'
loop_
_atom_site_label
_atom_site_type_symbol
_atom_site_fract_x
_atom_site_fract_y
_atom_site_fract_z
K1 K 0.000 0.000 0.000
Ba1 Ba 0.000 0.500 0.500
Zn1 Zn 0.500 0.500 0.000
O1 O 0.000 0.000 0.500
```

---

(2)
Entry from Alexandria via LeMat-Bulk: a relaxed CsNaZnH4 crystal (GGA-PBE).

```
data_CsNaZnH4
_chemical_formula_sum 'Cs2 Na2 Zn2 H8'
_cell_length_a 5.256
_cell_length_b 5.823
_cell_length_c 7.970
_cell_angle_alpha 90.00
_cell_angle_beta 101.14
_cell_angle_gamma 90.00
_symmetry_space_group_name_H-M 'P 1 21/m 1'
_symmetry_Int_Tables_number 11
_symmetry_space_group_name_Hall '-P 2yb'
loop_
_atom_site_label
_atom_site_type_symbol
_atom_site_fract_x
_atom_site_fract_y
_atom_site_fract_z
Cs1 Cs 0.241 0.250 0.112
Na1 Na 0.199 0.750 0.489
Zn1 Zn 0.340 0.250 0.684
H1 H 0.175 0.018 0.721
H2 H 0.352 0.250 0.479
H3 H 0.367 0.750 0.196
```

---

(3)
Entry from Alexandria via LeMat-Bulk: a relaxed NaAlSbTe crystal (GGA-PBE).

Results
- energy relative to the lowest polymorph listed for this composition (eV/f.u.) = 0.311
- energy relative to the elements, uncorrected (eV per atom) = -0.298

```
data_NaAlSbTe
_chemical_formula_sum 'Na1 Al1 Sb1 Te1'
_cell_length_a 3.572
_cell_length_b 4.395
_cell_length_c 8.222
_cell_angle_alpha 78.31
_cell_angle_beta 89.99
_cell_angle_gamma 66.15
_symmetry_space_group_name_H-M 'P 1'
_symmetry_Int_Tables_number 1
_symmetry_space_group_name_Hall 'P 1'
loop_
_atom_site_label
_atom_site_type_symbol
_atom_site_fract_x
_atom_site_fract_y
_atom_site_fract_z
Na1 Na 0.000 0.000 0.000
Al1 Al 0.705 0.593 0.484
Sb1 Sb 0.380 0.251 0.302
Te1 Te 0.230 0.539 0.739
```

---

The evaluated electronic total energy for the records listed, in turn: -15.54 -36.72 -13.52 eV per cell.
The evaluated DOS(E_F) for the records listed, in turn: 0.863 0.000 0.416 states/eV per atom.